DFT (GGA+U) results for ScMoPO2 after structural relaxation.

```
data_ScMoPO2
_space_group_name_H-M_alt 'P 1'
_space_group_IT_number 1
_cell_length_a 3.9460
_cell_length_b 3.9460
_cell_length_c 5.5077
_cell_angle_alpha 90.00
_cell_angle_beta 90.00
_cell_angle_gamma 90.00
loop_
_space_group_symop_operation_xyz
'x,y,z'
loop_
_atom_site_label
_atom_site_fract_x
_atom_site_fract_y
_atom_site_fract_z
O1 0.5000 0.0000 0.0000
O2 0.0000 0.5000 0.0000
Sc1 0.0000 0.0000 0.0000
Mo1 0.5000 0.5000 0.5000
P1 0.0000 0.0000 0.5000
```

## Properties
total moment: 2.058 μB per cell
polymorph energy (0 for the lowest one): 1.49 eV per formula unit
DFT total energy: -6.610 eV per atom
space-group type: No. 123